(1)
DFT (PBE-GGA) results for a relaxed Sr3ZrCd crystal.

Output
The formation energy from the elements is 0.6254 eV per atom. The value obtained for the total moment is 3.18 μB per formula unit. The polymorph energy (0 for the lowest one) is 0 meV/atom.

Lattice parameters (Å, degrees): 6.1608 6.1608 6.1608 90.00 90.00 90.00
Last column: nearest neighbours and their distance in Å.
Space group Pm-3m (No. 221)
Inequivalent atoms, fractional coordinates:
Sr: 0.0000 0.0000 0.5000  2 Cd 3.08
Zr: 0.5000 0.5000 0.5000  12 Sr 4.36
Cd: 0.0000 0.0000 0.0000  6 Sr 3.08

---

(2)
DFT (PBE-GGA) results for a relaxed Na2SrBiS crystal.

Output
Its formation energy without anion corrections is -0.840 eV per atom. The value obtained for the total moment is 0.77 μB per formula unit.

Lattice parameters (Å, degrees): 5.2680 5.2680 5.7847 90.00 90.00 90.00
Last column: nearest neighbours and their distance in Å.
Space group P4/mmm (No. 123)
Inequivalent atoms, fractional coordinates:
Na: 0.0000 0.5000 0.0000  2 S 2.63
Sr: 0.0000 0.0000 0.5000  2 S 2.89
Bi: 0.5000 0.5000 0.5000  4 Sr 3.73, 8 Na 3.91
S: 0.0000 0.0000 0.0000  4 Na 2.63, 2 Sr 2.89

---

(3)
DFT (PBE-GGA) results for a relaxed HPdW2 crystal.

Output
The value obtained for the total moment is 0.00 μB per formula unit. The polymorph energy (0 for the lowest one) is 556 meV/atom.

Lattice parameters (Å, degrees): 6.0396 6.0396 6.0396 90.00 90.00 90.00
Last column: nearest neighbours and their distance in Å.
Space group Fm-3m (No. 225)
Inequivalent atoms, fractional coordinates:
H: 0.0000 0.0000 0.0000  8 W 2.62
Pd: 0.0000 0.0000 0.5000  8 W 2.62
W: 0.2500 0.2500 0.2500  4 H 2.62, 4 Pd 2.62

---

(4)
DFT (PBE-GGA) results for a relaxed Cs4U3AgS12 crystal.

Output
Its formation energy without anion corrections is -1.115 eV per atom. The value obtained for the total moment is 0.00 μB per formula unit.

Lattice parameters (Å, degrees): 10.4847 10.4847 10.4847 90.00 90.00 90.00
Last column: nearest neighbours and their distance in Å.
Space group Im-3m (No. 229)
Inequivalent atoms, fractional coordinates:
Cs: 0.2500 0.2500 0.2500  12 S 3.71
U: 0.0000 0.0000 0.5000  6 S 2.45-2.62
Ag: 0.0000 0.0000 0.0000  6 S 2.80
S: 0.0000 0.0000 0.2668  1 U 2.45
S: 0.0000 0.2500 0.5000  2 U 2.62